(1)
This record from Alexandria via LeMat-Bulk describes a geometry-optimized Ti3Nb4V2 structure. The functional is PBE-GGA.

Cell: 6.4531 9.7161 6.9805 Å, 54.14 77.42 59.45°
Sites, in units of the cell vectors:
Ti1 0.2195 0.1527 0.7195
Ti2 0.6615 0.8080 0.9500
Ti3 0.3385 0.1920 0.0500
Ti4 0.7805 0.8473 0.2805
Ti5 0.2342 0.4984 0.5019
Ti6 0.7658 0.5016 0.4981
V1 0.8972 0.5233 0.8331
V2 0.4649 0.8456 0.6074
V3 0.5351 0.1544 0.3926
V4 0.1028 0.4767 0.1669
Nb1 0.3111 0.8381 0.2740
Nb2 0.8568 0.1762 0.0467
Nb3 0.5867 0.4929 0.1707
Nb4 0.0281 0.1683 0.3899
Nb5 0.1432 0.8238 0.9533
Nb6 0.4133 0.5071 0.8293
Nb7 0.9719 0.8317 0.6101
Nb8 0.6889 0.1619 0.7260

Computed properties:
- DOS at the Fermi energy: 1.652 states/eV/atom
- DFT total energy: -163.501 eV per cell
- Formation enthalpy at 0 K: 50 meV/atom
- Space-group type: P-1
- Density: 6.8 g/cm3

(2)
This record from Alexandria via LeMat-Bulk describes a geometry-optimized Y6Al2Bi structure. The functional is PBE-GGA.

Cell: 8.7863 8.7863 8.7863 Å, 102.85 113.67 112.10°
Sites, in units of the cell vectors:
Y1 0.7956 0.7589 0.5545
Y2 0.5347 0.7214 0.8133
Y3 0.7956 0.2411 0.0368
Y4 0.4653 0.2786 0.1867
Y5 0.9082 0.7214 0.1867
Y6 0.3000 0.6201 0.3201
Y7 0.2044 0.2411 0.4455
Y8 0.7000 0.0201 0.3201
Y9 0.3000 0.9799 0.6799
Y10 0.0918 0.2786 0.8133
Y11 0.7000 0.3799 0.6799
Y12 0.2044 0.7589 0.9632
Bi1 0.0000 0.0000 0.0000
Bi2 0.0000 0.5000 0.5000
Al1 0.5000 0.6180 0.1180
Al2 0.3580 0.0000 0.3580
Al3 0.6420 0.0000 0.6420
Al4 0.5000 0.3820 0.8820

Computed properties:
- DOS at the Fermi energy: 1.096 states/eV/atom
- DFT total energy: -107.012 eV per cell
- Formation enthalpy at 0 K: -373 meV/atom
- Space-group type: Immm
- Density: 5.1 g/cm3

(3)
This record from Alexandria via LeMat-Bulk describes a geometry-optimized Zn2TcNi8 structure. The functional is PBE-GGA.

Cell: 3.8047 6.0801 6.0801 Å, 105.92 90.02 90.02°
Sites, in units of the cell vectors:
Ni1 0.5000 0.2446 0.7554
Ni2 0.5000 0.7554 0.2446
Ni3 0.9998 0.7016 0.9625
Ni4 0.0002 0.0375 0.2984
Ni5 0.4998 0.6688 0.6688
Ni6 0.9998 0.9625 0.7016
Ni7 0.5002 0.3312 0.3312
Ni8 0.0002 0.2984 0.0375
Tc1 0.5000 0.0000 0.0000
Zn1 0.0000 0.3764 0.6236
Zn2 0.0000 0.6236 0.3764

Computed properties:
- DOS at the Fermi energy: 1.350 states/eV/atom
- DFT total energy: -57.949 eV per cell
- Formation enthalpy at 0 K: 111 meV/atom
- Space-group type: Cmmm
- Density: 8.6 g/cm3